No. 1
Below is a relaxed Tb2Ho5Th2 crystal, with properties calculated at the PBE-GGA level.

Properties
E in eV per atom: -4.977
Distance to the lowest polymorph of the same formula in meV per atom: 0
Space-group type: No. 46
Energy of formation in kJ/mol of formula units: 212

Cell lengths 11.850, 6.600, 10.044 Å; angles 109.18, 126.15, 90.00 degrees
Fractional coordinates of all 18 atoms:
Ho 0.584 0.262 0.715
Ho 0.810 0.266 0.107
Ho 0.190 0.158 0.893
Ho 0.369 0.048 0.285
Tb 0.127 0.675 0.250
Tb 0.377 0.924 0.750
Th 0.250 0.333 0.500
Ho 0.797 0.766 0.107
Th 0.750 0.833 0.500
Tb 0.623 0.175 0.250
Th 0.000 0.015 0.000
Ho 0.631 0.762 0.715
Ho 0.203 0.658 0.893
Ho 0.018 0.655 0.500
Ho 0.416 0.548 0.285
Tb 0.873 0.424 0.750
Ho 0.982 0.155 0.500
Th 0.500 0.515 0.000

=====

No. 2
Below is a relaxed Sc4Sn3H crystal, with properties calculated at the PBE-GGA level.

Properties
E in eV per atom: -5.322
Space-group type: No. 31

Cell lengths 5.601, 7.690, 8.574 Å; angles 90.00, 90.00, 90.00 degrees
Fractional coordinates of all 16 atoms:
Sn 0.137 0.290 0.500
Sn 0.057 0.600 0.306
Sn 0.557 0.400 0.194
Sc 0.625 0.168 0.500
Sc 0.067 0.201 0.181
Sn 0.557 0.400 0.806
Sc 0.567 0.799 0.681
Sc 0.567 0.799 0.319
Sc 0.569 0.078 0.000
Sc 0.125 0.832 0.000
Sn 0.637 0.710 0.000
Sc 0.069 0.922 0.500
Sc 0.067 0.201 0.819
H 0.437 0.937 0.500
H 0.937 0.063 0.000
Sn 0.057 0.600 0.694

=====

No. 3
Below is a relaxed AcLaHgRh crystal, with properties calculated at the PBE-GGA level.

Properties
E in eV per atom: -4.652
Distance to the lowest polymorph of the same formula in meV per atom: 124
Space-group type: No. 216
Energy of formation in kJ/mol of formula units: -185

Cell lengths 5.400, 5.400, 5.400 Å; angles 60.00, 60.00, 60.00 degrees
Fractional coordinates of all 4 atoms:
Hg 0.500 0.500 0.500
Ac 0.250 0.250 0.250
Rh 0.000 0.000 0.000
La 0.750 0.750 0.750

=====

No. 4
Below is a relaxed SrCoW2 crystal, with properties calculated at the PBE-GGA level.

Properties
E in eV per atom: -7.438
Distance to the lowest polymorph of the same formula in meV per atom: 570
Space-group type: No. 65
Energy of formation in kJ/mol of formula units: 477

Cell lengths 5.759, 5.759, 2.692 Å; angles 90.00, 90.00, 124.39 degrees
Site moments in Bohr magnetons follow the coordinates.
Fractional coordinates of all 4 atoms:
W 0.000 0.000 0.000  0.05
Co 0.500 0.000 0.500  1.49
W 0.500 0.500 0.000  0.05
Sr 0.000 0.500 0.500  -0.04

=====

No. 5
Below is a relaxed TbHo8Tm3 crystal, with properties calculated at the PBE-GGA level.

Properties
E in eV per atom: -4.535
Space-group type: No. 2
Energy of formation in kJ/mol of formula units: 24

Cell lengths 7.024, 12.168, 9.289 Å; angles 139.88, 79.07, 125.30 degrees
Fractional coordinates of all 12 atoms:
Ho 0.833 0.499 0.667
Tb 0.000 0.000 0.000
Ho 0.666 0.000 0.333
Ho 0.333 0.500 0.668
Tm 0.500 0.000 0.000
Ho 0.667 0.500 0.332
Tm 0.000 0.500 0.000
Ho 0.834 0.001 0.667
Tm 0.500 0.500 0.000
Ho 0.167 0.501 0.333
Ho 0.334 0.000 0.667
Ho 0.166 0.999 0.333

=====

No. 6
Below is a relaxed YTh2N3 crystal, with properties calculated at the PBE-GGA level.

Properties
E in eV per atom: -9.305
Uncorrected formation energy in eV per atom: -1.592
Space-group type: No. 12

Cell lengths 6.243, 6.245, 6.243 Å; angles 80.45, 60.00, 70.63 degrees
Fractional coordinates of all 12 atoms:
Y 0.333 0.000 0.333
Th 0.833 0.500 0.335
Th 0.167 0.500 0.665
N 0.745 0.755 0.000
Y 0.667 0.000 0.667
N 0.419 0.754 0.663
Th 0.000 0.000 0.000
N 0.918 0.246 0.663
N 0.581 0.246 0.337
N 0.255 0.245 0.000
Th 0.500 0.500 0.000
N 0.082 0.754 0.337

=====

No. 7
Below is a relaxed KTe2PdI crystal, with properties calculated at the PBE-GGA level.

Properties
E in eV per atom: -3.157
Distance to the lowest polymorph of the same formula in meV per atom: 0
Uncorrected formation energy in eV per atom: -0.333
Space-group type: No. 123

Cell lengths 5.366, 5.366, 5.839 Å; angles 90.00, 90.00, 90.00 degrees
Fractional coordinates of all 5 atoms:
Te 0.500 0.000 0.000
Te 0.000 0.500 0.000
I 0.000 0.000 0.500
K 0.500 0.500 0.500
Pd 0.000 0.000 0.000

=====

No. 8
Below is a relaxed Y3CuH crystal, with properties calculated at the PBE-GGA level.

Properties
E in eV per atom: -5.398
Distance to the lowest polymorph of the same formula in meV per atom: 0
Space-group type: No. 221

Cell lengths 4.752, 4.752, 4.752 Å; angles 90.00, 90.00, 90.00 degrees
Site moments in Bohr magnetons follow the coordinates.
Fractional coordinates of all 5 atoms:
Y 0.500 0.000 0.000  0.15
Cu 0.500 0.500 0.500  0.02
H 0.000 0.000 0.000  -0.01
Y 0.000 0.500 0.000  0.25
Y 0.000 0.000 0.500  0.22

=====

No. 9
Below is a relaxed Ca2Ac6OsRh crystal, with properties calculated at the PBE-GGA level.

Properties
E in eV per atom: -4.899
Space-group type: No. 8
Energy of formation in kJ/mol of formula units: -169

Cell lengths 8.367, 8.367, 8.361 Å; angles 119.96, 119.96, 90.01 degrees
Fractional coordinates of all 10 atoms:
Rh 0.500 0.500 0.000
Ca 0.750 0.250 0.500
Ac 0.752 0.752 0.000
Ca 0.250 0.750 0.500
Ac 0.248 0.248 0.999
Os 0.000 0.001 0.000
Ac 0.751 0.249 0.000
Ac 0.248 0.752 0.000
Ac 0.751 0.752 0.503
Ac 0.249 0.249 0.497

=====

No. 10
Below is a relaxed TaVMo crystal, with properties calculated at the PBE-GGA level.

Properties
E in eV per atom: -9.500
Distance to the lowest polymorph of the same formula in meV per atom: 1189
Space-group type: No. 164
Energy of formation in kJ/mol of formula units: 319

Cell lengths 4.104, 4.104, 8.435 Å; angles 90.00, 90.00, 120.00 degrees
Fractional coordinates of all 6 atoms:
Ta 0.000 0.000 0.669
V 0.667 0.333 0.887
Mo 0.333 0.667 0.802
V 0.333 0.667 0.113
Ta 0.000 0.000 0.331
Mo 0.667 0.333 0.198

=====

No. 11
Below is a relaxed RbTl2Cd crystal, with properties calculated at the PBE-GGA level.

Properties
E in eV per atom: -1.705
Distance to the lowest polymorph of the same formula in meV per atom: 32
Space-group type: No. 166
Energy of formation in kJ/mol of formula units: -20

Cell lengths 5.139, 5.139, 7.317 Å; angles 69.44, 69.44, 60.00 degrees
Fractional coordinates of all 4 atoms:
Tl 0.287 0.287 0.139
Tl 0.713 0.713 0.861
Cd 0.000 0.000 0.000
Rb 0.500 0.500 0.500

=====

No. 12
Below is a relaxed CeGdZn2 crystal, with properties calculated at the PBE-GGA level.

Properties
E in eV per atom: -5.890
Distance to the lowest polymorph of the same formula in meV per atom: 11
Space-group type: No. 123
Energy of formation in kJ/mol of formula units: -96

Cell lengths 3.585, 5.149, 5.149 Å; angles 90.00, 90.00, 90.00 degrees
Site moments in Bohr magnetons follow the coordinates.
Fractional coordinates of all 4 atoms:
Ce 0.500 0.500 0.500  0.78
Zn 0.000 0.000 0.500  0.01
Gd 0.500 0.000 0.000  7.16
Zn 0.000 0.500 0.000  0.01

=====

| no. | total magnetization (μB/f.u.) |
| --- | --- |
| 1 | 0.0 |
| 2 | 0.0 |
| 3 | 0.0 |
| 4 | 1.5 |
| 5 | 0.0 |
| 6 | 0.0 |
| 7 | 0.0 |
| 8 | 1.0 |
| 9 | 0.0 |
| 10 | 0.0 |
| 11 | 0.0 |
| 12 | 8.5 |